Record 1
Material: CaPd2Rh2
Method: DFT, PBE
State: relaxed

CIF file:
```
data_CaPd2Rh2
_cell_length_a 4.122
_cell_length_b 4.122
_cell_length_c 11.147
_cell_angle_alpha 90.00
_cell_angle_beta 90.00
_cell_angle_gamma 90.00
_space_group_name_H-M_alt 'I 4/m m m'
_space_group_IT_number 139
_space_group_name_Hall '-I 4 2'
loop_
_atom_site_label
_atom_site_fract_x
_atom_site_fract_y
_atom_site_fract_z
Ca1 0.000 0.000 0.000
Pd1 0.000 0.500 0.250
Rh1 0.000 0.000 0.396
```

Calculated values
* energy: -5.460 eV/atom
* volume: 18.940 Å³ per atom
* energy relative to the elements: -20 kJ/mol of formula units

=====

Record 2
Material: Ca2Sb3Pd4Rh
Method: DFT, PBE
State: relaxed

CIF file:
```
data_Ca2Sb3Pd4Rh
_cell_length_a 4.205
_cell_length_b 4.205
_cell_length_c 12.004
_cell_angle_alpha 90.00
_cell_angle_beta 90.00
_cell_angle_gamma 90.00
_space_group_name_H-M_alt 'P -4 m 2'
_space_group_IT_number 115
loop_
_space_group_symop_operation_xyz
'x,y,z'
'y,-x,-z'
'-x,-y,z'
'-y,x,-z'
'-x,y,z'
'-y,-x,-z'
'x,-y,z'
'y,x,-z'
loop_
_atom_site_label
_atom_site_fract_x
_atom_site_fract_y
_atom_site_fract_z
Ca1 0.000 0.500 0.233
Sb1 0.000 0.000 0.000
Sb2 0.000 0.500 0.636
Pd1 0.000 0.000 0.500
Pd2 0.000 0.500 0.850
Pd3 0.500 0.500 0.500
Rh1 0.500 0.500 0.000
```

Calculated values
* energy: -5.064 eV/atom
* formation energy from raw total energies: -615 meV/atom
* volume: 21.223 Å³ per atom